Record 1
! PmGaGeAu GGA-PBE relaxed; values from VASP
! Space group = No. 216
&SYSTEM
  ibrav = 0, nat = 4, ntyp = 4
/
ATOMIC_SPECIES
Au 196.97 Au.upf
Pm 145.00 Pm.upf
Ga 69.72 Ga.upf
Ge 72.64 Ge.upf
ATOMIC_POSITIONS crystal
Au 0.7500 0.7500 0.7500
Pm 0.0000 0.0000 0.0000
Ga 0.5000 0.5000 0.5000
Ge 0.2500 0.2500 0.2500
CELL_PARAMETERS angstrom
-2.8127 -0.3878 -4.0699
0.1542 -4.1360 -2.7378
-3.8825 -3.0902 -0.0477



Record 2
! Pm3Ga2GeAu6 GGA-PBE relaxed; values from VASP
! Space group = No. 164
&SYSTEM
  ibrav = 0, nat = 12, ntyp = 4
/
ATOMIC_SPECIES
Au 196.97 Au.upf
Ge 72.64 Ge.upf
Ga 69.72 Ga.upf
Pm 145.00 Pm.upf
ATOMIC_POSITIONS crystal
Au 0.1745 0.8255 0.2753
Au 0.8255 0.6511 0.7247
Au 0.8255 0.1745 0.7247
Au 0.3489 0.1745 0.7247
Au 0.6511 0.8255 0.2753
Au 0.1745 0.3489 0.2753
Ge 0.0000 0.0000 0.5000
Ga 0.3333 0.6667 0.0211
Ga 0.6667 0.3333 0.9789
Pm 0.3333 0.6667 0.6199
Pm 0.6667 0.3333 0.3801
Pm 0.0000 0.0000 0.0000
CELL_PARAMETERS angstrom
6.0184 0.0000 0.0000
-3.0092 5.2121 0.0000
0.0000 0.0000 8.7345



Record 3
! Pm2Ga4GeAu3 GGA-PBE relaxed; values from VASP
! Space group = No. 115
&SYSTEM
  ibrav = 0, nat = 10, ntyp = 4
/
ATOMIC_SPECIES
Ga 69.72 Ga.upf
Au 196.97 Au.upf
Ge 72.64 Ge.upf
Pm 145.00 Pm.upf
ATOMIC_POSITIONS crystal
Ga 0.0000 0.5000 0.3660
Ga 0.0000 0.0000 0.0000
Ga 0.5000 0.5000 0.0000
Ga 0.5000 0.0000 0.6340
Au 0.0000 0.0000 0.5000
Au 0.5000 0.0000 0.8679
Au 0.0000 0.5000 0.1321
Ge 0.5000 0.5000 0.5000
Pm 0.5000 0.0000 0.2514
Pm 0.0000 0.5000 0.7486
CELL_PARAMETERS angstrom
-0.8902 -1.3824 -4.0899
1.4218 -4.0369 1.0550
-9.8345 -2.6685 3.0426



Record 4
! Pr2GaGe3Au4 GGA-PBE relaxed; values from VASP
! Space group = No. 115
&SYSTEM
  ibrav = 0, nat = 10, ntyp = 4
/
ATOMIC_SPECIES
Ga 69.72 Ga.upf
Ge 72.64 Ge.upf
Au 196.97 Au.upf
Pr 140.91 Pr.upf
ATOMIC_POSITIONS crystal
Ga 0.5000 0.5000 0.5000
Ge 0.5000 0.0000 0.8650
Ge 0.0000 0.5000 0.1350
Ge 0.0000 0.0000 0.5000
Au 0.5000 0.0000 0.6316
Au 0.0000 0.5000 0.3684
Au 0.0000 0.0000 0.0000
Au 0.5000 0.5000 0.0000
Pr 0.5000 0.0000 0.2429
Pr 0.0000 0.5000 0.7571
CELL_PARAMETERS angstrom
4.4343 0.0000 0.0000
0.0000 4.4343 0.0000
0.0000 0.0000 10.7629



Record 5
! Pr2Ga3GeAu4 GGA-PBE relaxed; values from VASP
! Space group = No. 115
&SYSTEM
  ibrav = 0, nat = 10, ntyp = 4
/
ATOMIC_SPECIES
Ge 72.64 Ge.upf
Pr 140.91 Pr.upf
Au 196.97 Au.upf
Ga 69.72 Ga.upf
ATOMIC_POSITIONS crystal
Ge 0.5000 0.5000 0.5000
Pr 0.0000 0.5000 0.7510
Pr 0.5000 0.0000 0.2490
Au 0.5000 0.0000 0.6300
Au 0.5000 0.5000 0.0000
Au 0.0000 0.5000 0.3700
Au 0.0000 0.0000 0.0000
Ga 0.0000 0.0000 0.5000
Ga 0.0000 0.5000 0.1298
Ga 0.5000 0.0000 0.8702
CELL_PARAMETERS angstrom
4.4960 0.0000 0.0000
0.0000 4.4960 0.0000
0.0000 0.0000 10.4562



Record 6
! Pr2Ga4GeAu3 GGA-PBE relaxed; values from VASP
! Space group = No. 115
&SYSTEM
  ibrav = 0, nat = 10, ntyp = 4
/
ATOMIC_SPECIES
Ga 69.72 Ga.upf
Au 196.97 Au.upf
Ge 72.64 Ge.upf
Pr 140.91 Pr.upf
ATOMIC_POSITIONS crystal
Ga 0.5000 0.0000 0.6320
Ga 0.0000 0.5000 0.3680
Ga 0.0000 0.0000 0.0000
Ga 0.5000 0.5000 0.0000
Au 0.0000 0.5000 0.1295
Au 0.0000 0.0000 0.5000
Au 0.5000 0.0000 0.8705
Ge 0.5000 0.5000 0.5000
Pr 0.0000 0.5000 0.7492
Pr 0.5000 0.0000 0.2508
CELL_PARAMETERS angstrom
-1.7216 -0.5036 -4.0955
0.5400 -4.4270 0.3174
-9.6106 -0.8749 4.1474



Record 7
! Pr2GaGeAu6 GGA-PBE relaxed; values from VASP
! Space group = No. 59
&SYSTEM
  ibrav = 0, nat = 20, ntyp = 4
/
ATOMIC_SPECIES
Au 196.97 Au.upf
Ga 69.72 Ga.upf
Pr 140.91 Pr.upf
Ge 72.64 Ge.upf
ATOMIC_POSITIONS crystal
Au 0.2515 0.4920 0.5000
Au 0.2465 0.0272 0.5000
Au 0.7485 0.4920 0.5000
Au 0.0000 0.8806 0.2649
Au 0.0000 0.8806 0.7351
Au 0.2535 0.9728 0.0000
Au 0.7465 0.9728 0.0000
Au 0.2485 0.5080 0.0000
Au 0.7535 0.0272 0.5000
Au 0.7515 0.5080 0.0000
Au 0.5000 0.1194 0.2351
Au 0.5000 0.1194 0.7649
Ga 0.0000 0.7328 0.0000
Ga 0.5000 0.2672 0.5000
Pr 0.5000 0.7363 0.2494
Pr 0.5000 0.7363 0.7506
Pr 0.0000 0.2637 0.2506
Pr 0.0000 0.2637 0.7494
Ge 0.0000 0.7148 0.5000
Ge 0.5000 0.2852 0.0000
CELL_PARAMETERS angstrom
-0.9822 5.6199 0.9368
-1.4075 -1.7576 9.0685
8.2817 1.1946 1.5169



Record 8
! PuGa2GeAu5 GGA-PBE relaxed; values from VASP
! Space group = No. 123
&SYSTEM
  ibrav = 0, nat = 9, ntyp = 4
/
ATOMIC_SPECIES
Au 196.97 Au.upf
Pu 244.00 Pu.upf
Ge 72.64 Ge.upf
Ga 69.72 Ga.upf
ATOMIC_POSITIONS crystal
Au 0.5000 0.0000 0.7472
Au 0.0000 0.5000 0.2528
Au 0.5000 0.0000 0.2528
Au 0.5000 0.5000 0.5000
Au 0.0000 0.5000 0.7472
Pu 0.0000 0.0000 0.5000
Ge 0.0000 0.0000 0.0000
Ga 0.5000 0.5000 0.8431
Ga 0.5000 0.5000 0.1569
CELL_PARAMETERS angstrom
4.9529 0.0000 0.0000
0.0000 4.9529 0.0000
0.0000 0.0000 7.6099



Record 9
! Pu2GaGe4Au3 GGA-PBE relaxed; values from VASP
! Space group = No. 115
&SYSTEM
  ibrav = 0, nat = 10, ntyp = 4
/
ATOMIC_SPECIES
Pu 244.00 Pu.upf
Au 196.97 Au.upf
Ge 72.64 Ge.upf
Ga 69.72 Ga.upf
ATOMIC_POSITIONS crystal
Pu 0.5000 0.0000 0.2620
Pu 0.0000 0.5000 0.7380
Au 0.5000 0.0000 0.8621
Au 0.0000 0.0000 0.5000
Au 0.0000 0.5000 0.1379
Ge 0.5000 0.5000 0.0000
Ge 0.5000 0.0000 0.6376
Ge 0.0000 0.5000 0.3624
Ge 0.0000 0.0000 0.0000
Ga 0.5000 0.5000 0.5000
CELL_PARAMETERS angstrom
-1.8517 -2.8432 -2.6856
1.1474 -3.2355 2.6343
-9.6058 1.0665 5.4940



Record 10
! Pu2GaGe3Au4 GGA-PBE relaxed; values from VASP
! Space group = No. 115
&SYSTEM
  ibrav = 0, nat = 10, ntyp = 4
/
ATOMIC_SPECIES
Ge 72.64 Ge.upf
Ga 69.72 Ga.upf
Au 196.97 Au.upf
Pu 244.00 Pu.upf
ATOMIC_POSITIONS crystal
Ge 0.0000 0.5000 0.1392
Ge 0.5000 0.0000 0.8608
Ge 0.0000 0.0000 0.5000
Ga 0.5000 0.5000 0.5000
Au 0.5000 0.5000 0.0000
Au 0.0000 0.0000 0.0000
Au 0.5000 0.0000 0.6338
Au 0.0000 0.5000 0.3662
Pu 0.0000 0.5000 0.7601
Pu 0.5000 0.0000 0.2399
CELL_PARAMETERS angstrom
4.3506 0.0000 0.0000
0.0000 4.3506 0.0000
0.0000 0.0000 10.9823



Record 11
! Pu2GaGeAu6 GGA-PBE relaxed; values from VASP
! Space group = No. 166
&SYSTEM
  ibrav = 0, nat = 20, ntyp = 4
/
ATOMIC_SPECIES
Au 196.97 Au.upf
Pu 244.00 Pu.upf
Ge 72.64 Ge.upf
Ga 69.72 Ga.upf
ATOMIC_POSITIONS crystal
Au 0.7778 0.3373 0.1070
Au 0.3373 0.7778 0.1070
Au 0.6627 0.2222 0.8930
Au 0.6624 0.0730 0.6022
Au 0.3376 0.9270 0.3978
Au 0.9270 0.3376 0.3978
Au 0.7778 0.7778 0.1070
Au 0.6624 0.6624 0.6022
Au 0.2222 0.2222 0.8930
Au 0.0730 0.6624 0.6022
Au 0.2222 0.6627 0.8930
Au 0.3376 0.3376 0.3978
Pu 0.7156 0.7156 0.8533
Pu 0.2844 0.2844 0.1467
Pu 0.1141 0.1141 0.6577
Pu 0.8859 0.8859 0.3423
Ge 0.5752 0.5752 0.2745
Ge 0.4248 0.4248 0.7255
Ga 0.5000 0.5000 0.5000
Ga 0.0000 0.0000 0.0000
CELL_PARAMETERS angstrom
6.7183 0.0000 0.0000
3.3591 5.8182 0.0000
3.3591 1.9394 11.4846



Record 12
! GaGeRhAu2 GGA-PBE relaxed; values from VASP
! Space group = No. 123
&SYSTEM
  ibrav = 0, nat = 5, ntyp = 4
/
ATOMIC_SPECIES
Ge 72.64 Ge.upf
Au 196.97 Au.upf
Rh 102.91 Rh.upf
Ga 69.72 Ga.upf
ATOMIC_POSITIONS crystal
Ge 0.5000 0.5000 0.5000
Au 0.5000 0.0000 0.0000
Au 0.0000 0.0000 0.5000
Rh 0.0000 0.0000 0.0000
Ga 0.0000 0.5000 0.0000
CELL_PARAMETERS angstrom
5.1083 0.0000 0.0000
0.0000 4.5590 0.0000
0.0000 0.0000 5.1083



no.,VASP energy (eV/atom),magnetization (μB/cell),energy of formation (kJ per mole of atoms)
1,-4.33,0.0,-39.61
2,-4.19,0.0,-45.73
3,-4.20,0.0,-57.64
4,-4.55,0.0,-57.37
5,-4.26,0.0,-60.20
6,-4.23,0.0,-59.65
7,-4.16,0.0,-45.50
8,-4.71,5.6,-10.43
9,-6.27,11.2,-26.47
10,-6.20,10.9,-32.44
11,-5.79,0.0,-18.44
12,-3.75,0.0,54.29